Entry 1:
An optimized crystal structure of K3Se. Source: the Alexandria database, functional PBE-GGA.

Cell lengths 4.3211, 4.3211, 9.6535 Å; angles 90.00, 90.00, 89.98 degrees
Positions (direct):
K1 0.5000 0.5000 0.7500
K2 0.0000 0.0000 0.4069
K3 0.0000 0.0000 0.0931
Se1 0.5000 0.5000 0.2500

Values from the calculation:
Its total magnetization is 0.00 μB/f.u. For the total energy, the calculation gives -2.29 eV/atom. Its formation energy from raw total energies is -2.4 eV/f.u.

Entry 2:
An optimized crystal structure of K5Se4. Source: the Alexandria database, functional PBE-GGA.

Cell lengths 10.6480, 10.6480, 6.2183 Å; angles 90.00, 90.00, 120.00 degrees
Positions (direct):
K1 0.0000 0.2550 0.7500
K2 0.7450 0.7450 0.7500
K3 0.2550 0.0000 0.7500
K4 0.0000 0.7450 0.2500
K5 0.3333 0.6667 0.5000
K6 0.7450 0.0000 0.2500
K7 0.6667 0.3333 0.0000
K8 0.6667 0.3333 0.5000
K9 0.3333 0.6667 0.0000
K10 0.2550 0.2550 0.2500
Se1 0.5439 0.0000 0.7500
Se2 0.0000 0.0000 0.0000
Se3 0.5439 0.5439 0.2500
Se4 0.4561 0.4561 0.7500
Se5 0.0000 0.5439 0.7500
Se6 0.4561 0.0000 0.2500
Se7 0.0000 0.0000 0.5000
Se8 0.0000 0.4561 0.2500

Values from the calculation:
Its total magnetization is 0.09 μB/f.u. For the total energy, the calculation gives -2.98 eV/atom. Its formation energy from raw total energies is -7.4 eV/f.u.

Entry 3:
An optimized crystal structure of KSe2. Source: the Alexandria database, functional PBE-GGA.

Cell lengths 6.6240, 6.6240, 6.6240 Å; angles 124.34, 124.34, 82.64 degrees
Positions (direct):
Se1 0.8656 0.3656 0.2312
Se2 0.1344 0.6344 0.7688
Se3 0.6344 0.8656 0.5000
Se4 0.3656 0.1344 0.5000
K1 0.2500 0.2500 0.0000
K2 0.7500 0.7500 0.0000

Values from the calculation:
Its total magnetization is 0.18 μB/f.u. For the total energy, the calculation gives -3.27 eV/atom. Its formation energy from raw total energies is -1.8 eV/f.u.

Entry 4:
An optimized crystal structure of K3Se. Source: the Alexandria database, functional PBE-GGA.

Cell lengths 4.6216, 7.9881, 7.1977 Å; angles 123.70, 108.73, 90.00 degrees
Positions (direct):
Se1 0.0000 0.0603 0.0000
K1 0.6685 0.0541 0.3370
K2 0.3315 0.7171 0.6630
K3 0.5000 0.3351 0.0000

Values from the calculation:
Its total magnetization is 0.02 μB/f.u. For the total energy, the calculation gives -2.37 eV/atom. Its formation energy from raw total energies is -2.7 eV/f.u.

Entry 5:
An optimized crystal structure of K3Se. Source: the Alexandria database, functional PBE-GGA.

Cell lengths 12.7412, 12.7412, 5.2506 Å; angles 90.00, 90.00, 142.30 degrees
Positions (direct):
K1 0.9283 0.0717 0.2500
K2 0.4285 0.0459 0.2500
K3 0.0717 0.9283 0.7500
K4 0.0459 0.4285 0.7500
K5 0.5715 0.9541 0.7500
K6 0.9541 0.5715 0.2500
Se1 0.7942 0.2058 0.2500
Se2 0.2058 0.7942 0.7500

Values from the calculation:
Its total magnetization is 0.00 μB/f.u. For the total energy, the calculation gives -2.42 eV/atom. Its formation energy from raw total energies is -2.9 eV/f.u.

Entry 6:
An optimized crystal structure of KSe2. Source: the Alexandria database, functional PBE-GGA.

Cell lengths 6.3642, 6.3642, 8.9972 Å; angles 82.07, 82.07, 37.27 degrees
Positions (direct):
Se1 0.7680 0.7680 0.1276
Se2 0.6322 0.6322 0.6726
Se3 0.3108 0.3108 0.9300
Se4 0.8202 0.8202 0.7180
K1 0.0419 0.0419 0.9621
K2 0.2602 0.2602 0.4230

Values from the calculation:
Its total magnetization is 0.00 μB/f.u. For the total energy, the calculation gives -3.27 eV/atom. Its formation energy from raw total energies is -1.7 eV/f.u.

Which value of formation energy from raw total energies does entry 2 give? -7.4 eV/f.u.

The lowest formation energy from raw total energies belongs to which entry? K5Se4

What is the formula in the sixth record? KSe2